Record 1
An optimized crystal structure of ZrGa2NiB, computed with PBEsol.

ΔH_f (0 K): 1.483 eV per atom
size of the total moment: 0.3 μB/f.u.
theoretical density: 4.6 Mg/m³

Cell: 5.0620 5.0620 4.1976 Å, 90.00 90.00 90.00°
Space group P4/mmm (No. 123)
One atom of each set of equivalent atoms:
Zr (0.0000, 0.0000, 0.0000) [1 per cell]
Ga (0.0000, 0.5000, 0.0000) [2 per cell]
Ni (0.5000, 0.5000, 0.5000) [1 per cell]
B (0.0000, 0.0000, 0.5000) [1 per cell]

---

Record 2
An optimized crystal structure of Ga4B2O9, computed with PBEsol.

size of the total moment: 0.0 μB/f.u.
offset from the most stable computed form: 0.045 eV/atom
theoretical density: 4.1 Mg/m³

Cell: 15.7640 5.6538 11.1691 Å, 90.00 133.97 90.00°
Space group C2/m (No. 12)
One atom of each set of equivalent atoms:
Ga (0.0039, 0.0000, 0.2649) [4 per cell]
Ga (0.1320, 0.0000, 0.1359) [4 per cell]
Ga (0.2500, 0.2500, 0.0000) [4 per cell]
Ga (0.2500, 0.2500, 0.5000) [4 per cell]
B (0.0030, 0.5000, 0.7025) [4 per cell]
B (0.2104, 0.5000, 0.2107) [4 per cell]
O (0.0042, 0.0000, 0.9017) [4 per cell]
O (0.0630, 0.2910, 0.3706) [8 per cell]
O (0.1242, 0.5000, 0.8365) [4 per cell]
O (0.1558, 0.0000, 0.8702) [4 per cell]
O (0.2007, 0.2849, 0.1402) [8 per cell]
O (0.2102, 0.0000, 0.3665) [4 per cell]
O (0.2269, 0.5000, 0.3509) [4 per cell]

---

Record 3
An optimized crystal structure of GaBO3, computed with PBEsol.

calculated total energy: -7.388 eV/atom
size of the total moment: 0.0 μB/f.u.
theoretical density: 5.0 Mg/m³

Cell: 4.5898 4.5898 14.1670 Å, 90.00 90.00 120.00°
Space group R-3c (No. 167, hexagonal axes)
One atom of each set of equivalent atoms:
Ga (0.0000, 0.0000, 0.0000) [6 per cell]
B (0.0000, 0.0000, 0.2500) [6 per cell]
O (0.0000, 0.3012, 0.2500) [18 per cell]

---

Record 4
An optimized crystal structure of Ga4B2O9, computed with PBEsol.

size of the total moment: 0.0 μB/f.u.
offset from the most stable computed form: 0.000 eV/atom
theoretical density: 4.3 Mg/m³

Cell: 15.1828 5.7534 10.8627 Å, 90.00 133.95 90.00°
Space group Cm (No. 8)
One atom of each set of equivalent atoms:
Ga (0.0000, 0.0000, 0.0000) [2 per cell]
Ga (0.0139, 0.0000, 0.5566) [2 per cell]
Ga (0.1950, 0.0000, 0.3908) [2 per cell]
Ga (0.2684, 0.2524, 0.7245) [4 per cell]
Ga (0.2719, 0.2511, 0.2332) [4 per cell]
Ga (0.3662, 0.5000, 0.1004) [2 per cell]
B (0.0225, 0.5000, 0.5202) [2 per cell]
B (0.0226, 0.5000, 0.9580) [2 per cell]
B (0.2857, 0.0000, 0.9956) [2 per cell]
B (0.3086, 0.5000, 0.5130) [2 per cell]
O (0.0257, 0.0000, 0.1993) [2 per cell]
O (0.0878, 0.2920, 0.5929) [4 per cell]
O (0.1485, 0.5000, 0.0783) [2 per cell]
O (0.1653, 0.0000, 0.1326) [2 per cell]
O (0.2266, 0.0000, 0.5855) [2 per cell]
O (0.2550, 0.2881, 0.3940) [4 per cell]
O (0.2640, 0.0000, 0.8503) [2 per cell]
O (0.2660, 0.5000, 0.6011) [2 per cell]
O (0.2962, 0.2073, 0.0703) [4 per cell]
O (0.3206, 0.5000, 0.8834) [2 per cell]
O (0.3874, 0.5000, 0.3110) [2 per cell]
O (0.3996, 0.0000, 0.3820) [2 per cell]
O (0.4402, 0.5000, 0.6314) [2 per cell]
O (0.4559, 0.2049, 0.8951) [4 per cell]

---

Record 5
An optimized crystal structure of GaBPbO4, computed with PBEsol.

calculated total energy: -6.973 eV/atom
size of the total moment: 0.0 μB/f.u.
theoretical density: 6.8 Mg/m³

Cell: 6.9618 5.9155 8.2996 Å, 90.00 90.00 90.00°
Space group Pnma (No. 62)
One atom of each set of equivalent atoms:
Ga (0.0000, 0.0000, 0.0000) [4 per cell]
B (0.2218, 0.2500, 0.2647) [4 per cell]
Pb (0.0577, 0.7500, 0.3585) [4 per cell]
O (0.1042, 0.2500, 0.8866) [4 per cell]
O (0.1712, 0.0466, 0.1934) [8 per cell]
O (0.1799, 0.7500, 0.9097) [4 per cell]

---

Record 6
An optimized crystal structure of SmGa3B4O12, computed with PBEsol.

calculated total energy: -7.711 eV/atom
size of the total moment: 0.0 μB/f.u.
theoretical density: 5.1 Mg/m³

Cell: 9.5065 9.5065 7.4564 Å, 90.00 90.00 120.00°
Space group R32 (No. 155, hexagonal axes)
One atom of each set of equivalent atoms:
Sm (0.0000, 0.0000, 0.0000) [3 per cell]
Ga (0.0000, 0.5510, 0.0000) [9 per cell]
B (0.0000, 0.0000, 0.5000) [3 per cell]
B (0.0000, 0.4460, 0.5000) [9 per cell]
O (0.0000, 0.5916, 0.5000) [9 per cell]
O (0.0000, 0.8543, 0.5000) [9 per cell]
O (0.0273, 0.2133, 0.1853) [18 per cell]

---

Record 7
An optimized crystal structure of SrGaBO4, computed with PBEsol.

size of the total moment: 0.0 μB/f.u.
offset from the most stable computed form: 0.000 eV/atom
theoretical density: 3.9 Mg/m³

Cell: 8.9126 15.2984 5.8042 Å, 90.00 90.00 90.00°
Space group Pccn (No. 56)
One atom of each set of equivalent atoms:
Sr (0.1174, 0.1491, 0.1124) [8 per cell]
Ga (0.2379, 0.5502, 0.1275) [8 per cell]
B (0.0187, 0.6435, 0.8651) [8 per cell]
O (0.0695, 0.6175, 0.0815) [8 per cell]
O (0.0969, 0.6232, 0.6647) [8 per cell]
O (0.1120, 0.1900, 0.6517) [8 per cell]
O (0.2265, 0.0215, 0.8796) [8 per cell]

---

Record 8
An optimized crystal structure of SrGaBO4, computed with PBEsol.

size of the total moment: 0.0 μB/f.u.
offset from the most stable computed form: 0.004 eV/atom
theoretical density: 3.8 Mg/m³

Cell: 9.0161 15.4097 5.9132 Å, 90.00 90.00 90.00°
Space group P2_12_12 (No. 18)
One atom of each set of equivalent atoms:
Sr (0.0726, 0.1209, 0.4977) [4 per cell]
Sr (0.2136, 0.9796, 0.0025) [4 per cell]
Ga (0.0379, 0.6528, 0.2499) [4 per cell]
Ga (0.0385, 0.6544, 0.7483) [4 per cell]
B (0.0181, 0.1869, 0.0010) [4 per cell]
B (0.2070, 0.4251, 0.5001) [4 per cell]
O (0.0091, 0.2293, 0.7942) [4 per cell]
O (0.0129, 0.2313, 0.2051) [4 per cell]
O (0.0291, 0.0982, 0.0043) [4 per cell]
O (0.1243, 0.6077, 0.9984) [4 per cell]
O (0.1413, 0.4049, 0.2945) [4 per cell]
O (0.1420, 0.4021, 0.7042) [4 per cell]
O (0.1559, 0.6451, 0.4990) [4 per cell]
O (0.1596, 0.9678, 0.4980) [4 per cell]

---

Record 9
An optimized crystal structure of SrGa2B2O7, computed with PBEsol.

calculated total energy: -7.324 eV/atom
size of the total moment: 0.0 μB/f.u.
theoretical density: 4.3 Mg/m³

Cell: 11.7389 8.3437 5.6817 Å, 90.00 90.00 90.00°
Space group Cmcm (No. 63)
One atom of each set of equivalent atoms:
Sr (0.0000, 0.1818, 0.2500) [4 per cell]
Ga (0.2097, 0.0847, 0.7500) [8 per cell]
B (0.1090, 0.4048, 0.7500) [8 per cell]
O (0.0000, 0.3370, 0.7500) [4 per cell]
O (0.1288, 0.0000, 0.0000) [8 per cell]
O (0.1295, 0.4328, 0.2500) [8 per cell]
O (0.2004, 0.3052, 0.7500) [8 per cell]

---

Record 10
An optimized crystal structure of YGa3B4O12, computed with PBEsol.

calculated total energy: -7.804 eV/atom
size of the total moment: 0.0 μB/f.u.
theoretical density: 4.6 Mg/m³

Cell: 9.4737 9.4737 7.4131 Å, 90.00 90.00 120.00°
Space group R32 (No. 155, hexagonal axes)
One atom of each set of equivalent atoms:
Y (0.0000, 0.0000, 0.0000) [3 per cell]
Ga (0.0000, 0.5503, 0.0000) [9 per cell]
B (0.0000, 0.0000, 0.5000) [3 per cell]
B (0.0000, 0.4472, 0.5000) [9 per cell]
O (0.0000, 0.5927, 0.5000) [9 per cell]
O (0.0000, 0.8542, 0.5000) [9 per cell]
O (0.0266, 0.2110, 0.1825) [18 per cell]

---

Record 11
An optimized crystal structure of GaB3P, computed with PBEsol.

ΔH_f (0 K): 2.043 eV per atom
size of the total moment: 0.0 μB/f.u.
theoretical density: 3.3 Mg/m³

Cell: 4.0565 4.0565 4.0565 Å, 90.00 90.00 90.00°
Space group Pm-3m (No. 221)
One atom of each set of equivalent atoms:
Ga (0.0000, 0.0000, 0.0000) [1 per cell]
B (0.0000, 0.0000, 0.5000) [3 per cell]
P (0.5000, 0.5000, 0.5000) [1 per cell]

---

Record 12
An optimized crystal structure of GaBP3, computed with PBEsol.

ΔH_f (0 K): 0.683 eV per atom
size of the total moment: 0.0 μB/f.u.
theoretical density: 4.1 Mg/m³

Cell: 4.1179 4.1179 4.1179 Å, 90.00 90.00 90.00°
Space group Pm-3m (No. 221)
One atom of each set of equivalent atoms:
Ga (0.0000, 0.0000, 0.0000) [1 per cell]
B (0.5000, 0.5000, 0.5000) [1 per cell]
P (0.0000, 0.5000, 0.5000) [3 per cell]

---

Record 13
An optimized crystal structure of GaBPb3, computed with PBEsol.

ΔH_f (0 K): 0.688 eV per atom
size of the total moment: 0.0 μB/f.u.
theoretical density: 9.3 Mg/m³

Cell: 4.9988 4.9988 4.9988 Å, 90.00 90.00 90.00°
Space group Pm-3m (No. 221)
One atom of each set of equivalent atoms:
Ga (0.0000, 0.0000, 0.0000) [1 per cell]
B (0.5000, 0.5000, 0.5000) [1 per cell]
Pb (0.0000, 0.5000, 0.5000) [3 per cell]

---

Record 14
An optimized crystal structure of GaB2Pb, computed with PBEsol.

ΔH_f (0 K): 0.958 eV per atom
size of the total moment: 0.0 μB/f.u.
theoretical density: 7.7 Mg/m³

Cell: 4.5018 4.5018 12.6890 Å, 90.00 90.00 90.00°
Space group I-42d (No. 122)
One atom of each set of equivalent atoms:
Ga (0.0000, 0.0000, 0.0000) [4 per cell]
B (0.1645, 0.2500, 0.1250) [8 per cell]
Pb (0.0000, 0.0000, 0.5000) [4 per cell]

---

Record 15
An optimized crystal structure of Ga3BPd, computed with PBEsol.

ΔH_f (0 K): 0.835 eV per atom
size of the total moment: 0.0 μB/f.u.
theoretical density: 5.3 Mg/m³

Cell: 4.6787 4.6787 4.6787 Å, 90.00 90.00 90.00°
Space group Pm-3m (No. 221)
One atom of each set of equivalent atoms:
Ga (0.0000, 0.0000, 0.5000) [3 per cell]
B (0.5000, 0.5000, 0.5000) [1 per cell]
Pd (0.0000, 0.0000, 0.0000) [1 per cell]